No. 1
Density functional theory data (PBE-GGA) for an optimized crystal structure of LaY2P.

Computed properties:
Energy above the most stable polymorph in this dataset, eV per atom: 0.174

a = 3.614 Å, b = 3.614 Å, c = 8.348 Å
α = 90.00°, β = 90.00°, γ = 90.00°
Space group P4/mmm (No. 123)
Inequivalent atoms, fractional coordinates:
La 0.000 0.000 0.000
Y 0.500 0.500 0.315
P 0.000 0.000 0.500



No. 2
Density functional theory data (PBE-GGA) for an optimized crystal structure of LaY2P.

Computed properties:
Energy above the most stable polymorph in this dataset, eV per atom: 0.119

a = 3.918 Å, b = 4.465 Å, c = 13.905 Å
α = 90.00°, β = 90.00°, γ = 90.00°
Space group Amm2 (No. 38)
Inequivalent atoms, fractional coordinates:
La 0.000 0.000 0.000
Y 0.000 0.000 0.308
Y 0.500 0.000 0.665
P 0.500 0.000 0.466



No. 3
Density functional theory data (PBE-GGA) for an optimized crystal structure of LaY2P.

Computed properties:
Energy above the most stable polymorph in this dataset, eV per atom: 0.369

a = 4.688 Å, b = 4.688 Å, c = 4.579 Å
α = 90.00°, β = 90.00°, γ = 90.00°
Space group P4/mmm (No. 123)
Inequivalent atoms, fractional coordinates:
La 0.000 0.000 0.000
Y 0.000 0.500 0.500
P 0.500 0.500 0.000



No. 4
Density functional theory data (PBE-GGA) for an optimized crystal structure of LaYP2.

Computed properties:
Energy above the most stable polymorph in this dataset, eV per atom: 0.032

a = 4.157 Å, b = 4.157 Å, c = 5.859 Å
α = 90.00°, β = 90.00°, γ = 90.00°
Space group P4/mmm (No. 123)
Inequivalent atoms, fractional coordinates:
La 0.000 0.000 0.000
Y 0.500 0.500 0.500
P 0.000 0.000 0.500
P 0.500 0.500 0.000



No. 5
Density functional theory data (PBE-GGA) for an optimized crystal structure of LaY2P.

Computed properties:
Energy above the most stable polymorph in this dataset, eV per atom: 0.221

a = 3.739 Å, b = 5.085 Å, c = 11.721 Å
α = 90.00°, β = 90.00°, γ = 90.00°
Space group Imm2 (No. 44)
Inequivalent atoms, fractional coordinates:
La 0.000 0.000 0.000
Y 0.000 0.000 0.614
Y 0.000 0.500 0.808
P 0.000 0.500 0.295



No. 6
Density functional theory data (PBE-GGA) for an optimized crystal structure of La2YP2.

a = 7.886 Å, b = 7.886 Å, c = 4.104 Å
α = 90.00°, β = 90.00°, γ = 90.00°
Space group P4/mbm (No. 127)
Inequivalent atoms, fractional coordinates:
La 0.149 0.351 0.000
Y 0.000 0.000 0.500
P 0.160 0.660 0.500



no.,energy relative to the elements (kJ/mol of formula units)
1,-217
2,-238
3,-142
4,-602
5,-199
6,-603